VASP calculation (PBE) on a geometry-optimized ScCoTeW2 structure.

Summary:
V, Å³/cell: 98.82
Formation energy without anion corrections, kcal/mol of atoms: 17.88
Calculated total energy, eV/atom: -7.72
SG: P4/mmm
Crystal system: tetragonal
Size of the total moment, μB per cell: 0.0

Cell: 4.5225 4.8317 4.5225 Å, 90.00 90.00 90.00°
Sites, in units of the cell vectors:
W: 0.0000 0.0000 0.5000
Sc: 0.0000 0.5000 0.0000
Te: 0.5000 0.5000 0.5000
Co: 0.0000 0.0000 0.0000
W: 0.5000 0.0000 0.0000

=====

VASP calculation (PBE) on a geometry-optimized ScZnCoTe2 structure.

Summary:
V, Å³/cell: 134.35
Formation energy without anion corrections, kcal/mol of atoms: 17.88
Calculated total energy, eV/atom: -3.42
SG: P4/mmm
Crystal system: tetragonal
Size of the total moment, μB per cell: 2.0

Cell: 5.2279 4.9156 5.2279 Å, 90.00 90.00 90.00°
Last column: magnetic moment on the atom in μB.
Sites, in units of the cell vectors:
Co: 0.5000 0.5000 0.5000  2.06
Te: 0.5000 0.0000 0.0000  0.04
Sc: 0.0000 0.5000 0.0000  -0.12
Te: 0.0000 0.0000 0.5000  0.02
Zn: 0.0000 0.0000 0.0000  0.00

=====

VASP calculation (PBE) on a geometry-optimized Th2ScCo9 structure.

Summary:
V, Å³/cell: 174.01
Energy relative to the elements, eV/f.u.: -2.03
Calculated total energy, eV/atom: -7.26
SG: R-3m
Crystal system: trigonal
Size of the total moment, μB per cell: 8.0

Cell: 4.8946 4.8946 8.8503 Å, 73.95 73.95 60.00°
Last column: magnetic moment on the atom in μB.
Sites, in units of the cell vectors:
Co: 0.5767 0.0799 0.7667  1.00
Co: 0.3328 0.3328 0.0016  1.42
Co: 0.4233 0.4233 0.2333  1.00
Co: 0.0799 0.5767 0.7667  1.00
Th: 0.8644 0.8644 0.4067  -0.29
Co: 0.5767 0.5767 0.7667  1.00
Co: 0.5000 0.5000 0.5000  0.52
Sc: 0.0000 0.0000 0.0000  -0.21
Co: 0.9201 0.4233 0.2333  1.00
Co: 0.4233 0.9201 0.2333  1.00
Th: 0.1356 0.1356 0.5933  -0.29
Co: 0.6672 0.6672 0.9984  1.42

=====

VASP calculation (PBE) on a geometry-optimized ThScCo structure.

Summary:
V, Å³/cell: 272.06
Energy relative to the elements, eV/f.u.: -0.63
Relative energy among the computed polymorphs, meV/atom: 52.3
Calculated total energy, eV/atom: -7.16
SG: P2_1/m
Crystal system: monoclinic
Size of the total moment, μB per cell: 0.0

Cell: 5.8796 6.8972 6.8967 Å, 85.03 80.84 80.84°
Sites, in units of the cell vectors:
Th: 0.2137 0.1618 0.4116
Sc: 0.6745 0.3640 0.6140
Th: 0.7863 0.8382 0.5884
Th: 0.7863 0.3383 0.0883
Sc: 0.3255 0.1359 0.8859
Sc: 0.6745 0.8641 0.1141
Th: 0.2137 0.6617 0.9117
Co: 0.1088 0.9307 0.1806
Co: 0.8912 0.0693 0.8194
Co: 0.8913 0.5693 0.3194
Co: 0.1087 0.4307 0.6806
Sc: 0.3255 0.6360 0.3860

=====

Quick rundown of DOS(E_F), same order as above: 1.421; 1.675; 1.260; 0.989 states/eV/atom